A plane-wave DFT calculation with PBE was carried out for an optimized crystal structure of HgB2Ir. Values from VASP.

VASP energy, eV/atom: -3.799

Geometry as Quantum ESPRESSO input:
```
&SYSTEM
  ibrav = 0, nat = 4, ntyp = 3
/
ATOMIC_SPECIES
B 10.81 B.upf
Hg 200.59 Hg.upf
Ir 192.22 Ir.upf
CELL_PARAMETERS angstrom
-1.932 -1.677 3.408
-1.446 2.545 3.097
-4.194 0.523 0.544
ATOMIC_POSITIONS angstrom
B 0.000 0.000 0.000
B -1.893 0.348 1.762
Hg -5.678 1.044 5.286
Ir -3.786 0.696 3.524
```